Entry 1:
Compound: ScZnPO
Source: OQMD via LeMat-Bulk
Functional: GGA-PBE
Structure: relaxed

Cell: 4.2607 4.2607 8.4921 Å, 90.00 90.00 90.00°
Closest atoms and distances in Å follow each position.
Positions (direct):
Sc (0.2500, 0.7500, 0.0000)  4 P 2.53
Sc (0.7500, 0.2500, 0.0000)  4 P 2.53
Zn (0.2500, 0.2500, 0.4662)  4 O 2.15
Zn (0.7500, 0.7500, 0.5338)  4 O 2.15
P (0.2500, 0.2500, 0.1601)  4 Sc 2.53, 1 Zn 2.60
P (0.7500, 0.7500, 0.8399)  4 Sc 2.53, 1 Zn 2.60
O (0.2500, 0.7500, 0.5000)  4 Zn 2.15
O (0.7500, 0.2500, 0.5000)  4 Zn 2.15

Entry 2:
Compound: YLuSc2Sb2
Source: OQMD via LeMat-Bulk
Functional: GGA-PBE
Structure: relaxed

Cell: 8.6510 8.6510 8.6510 Å, 151.09 151.09 41.35°
Closest atoms and distances in Å follow each position.
Positions (direct):
Y (0.0000, 0.0000, 0.0000)  5 Sb 3.09-3.14
Lu (0.3523, 0.3523, 0.0000)  5 Sb 3.11-3.13
Sc (0.1777, 0.6777, 0.5000)  4 Sb 3.03-3.05, 4 Sc 3.05
Sc (0.6777, 0.1777, 0.5000)  4 Sb 3.03-3.05, 4 Sc 3.05
Sb (0.5447, 0.5447, 0.0000)  4 Sc 3.05, 1 Lu 3.11, 4 Y 3.14
Sb (0.8093, 0.8093, 0.0000)  4 Sc 3.03, 1 Y 3.09, 4 Lu 3.13

Entry 3:
Compound: Ag6PBrO5
Source: OQMD via LeMat-Bulk
Functional: GGA-PBE
Structure: relaxed

Cell: 6.7232 6.7232 6.7232 Å, 60.00 60.00 60.00°
Closest atoms and distances in Å follow each position.
Positions (direct):
Ag (0.2419, 0.2419, 0.7581)  3 O 2.30-2.31
Ag (0.2419, 0.7581, 0.2419)  3 O 2.30-2.31
Ag (0.2419, 0.7581, 0.7581)  3 O 2.30-2.31
Ag (0.7581, 0.2419, 0.2419)  3 O 2.30-2.31
Ag (0.7581, 0.2419, 0.7581)  3 O 2.30-2.31
Ag (0.7581, 0.7581, 0.2419)  3 O 2.30-2.31
P (0.7500, 0.7500, 0.7500)  4 O 1.55
Br (0.2500, 0.2500, 0.2500)  12 Ag 3.36
O (0.0000, 0.0000, 0.0000)  6 Ag 2.30
O (0.0332, 0.6556, 0.6556)  1 P 1.55
O (0.6556, 0.0332, 0.6556)  1 P 1.55
O (0.6556, 0.6556, 0.0332)  1 P 1.55
O (0.6556, 0.6556, 0.6556)  1 P 1.55

Entry 4:
Compound: GdHoSe2
Source: OQMD via LeMat-Bulk
Functional: GGA-PBE
Structure: relaxed

Cell: 4.0758 4.0758 5.7689 Å, 90.00 90.00 90.00°
Closest atoms and distances in Å follow each position.
Positions (direct):
Gd (0.0000, 0.0000, 0.0000)  6 Se 2.88
Ho (0.5000, 0.5000, 0.5000)  6 Se 2.88
Se (0.0000, 0.0000, 0.5000)  4 Ho 2.88, 2 Gd 2.88
Se (0.5000, 0.5000, 0.0000)  4 Gd 2.88, 2 Ho 2.88

Entry 5:
Compound: MgCuBiW
Source: OQMD via LeMat-Bulk
Functional: GGA-PBE
Structure: relaxed

Cell: 4.8238 4.8238 4.8238 Å, 60.00 60.00 60.00°
Closest atoms and distances in Å follow each position.
Positions (direct):
Mg (0.0000, 0.0000, 0.0000)  4 W 2.95, 4 Bi 2.95
Cu (0.5000, 0.5000, 0.5000)  4 W 2.95, 4 Bi 2.95
Bi (0.2500, 0.2500, 0.2500)  4 Mg 2.95, 4 Cu 2.95
W (0.7500, 0.7500, 0.7500)  4 Mg 2.95, 4 Cu 2.95

Properties
- Energy above the lowest structure with this stoichiometry: 142 meV per atom

Entry 6:
Compound: YLuIr
Source: OQMD via LeMat-Bulk
Functional: GGA-PBE
Structure: relaxed

Cell: 4.6735 4.6735 4.6735 Å, 60.00 60.00 60.00°
Closest atoms and distances in Å follow each position.
Positions (direct):
Y (0.0000, 0.0000, 0.0000)  4 Lu 2.86
Lu (0.7500, 0.7500, 0.7500)  4 Ir 2.86, 4 Y 2.86
Ir (0.5000, 0.5000, 0.5000)  4 Lu 2.86

Properties
- Energy above the lowest structure with this stoichiometry: 926 meV per atom

Entry 7:
Compound: Pr4BI5
Source: OQMD via LeMat-Bulk
Functional: GGA-PBE
Structure: relaxed

Cell: 10.0294 10.0294 9.0225 Å, 102.40 102.40 24.34°
Closest atoms and distances in Å follow each position.
Positions (direct):
Pr (0.0012, 0.0012, 0.2978)  2 B 2.80
Pr (0.3605, 0.3605, 0.4289)  1 B 2.67
Pr (0.6395, 0.6395, 0.5711)  1 B 2.67
Pr (0.9988, 0.9988, 0.7022)  2 B 2.80
B (0.5000, 0.5000, 0.5000)  6 Pr 2.67-2.80
I (0.1652, 0.1652, 0.8433)  3 Pr 3.20-3.23
I (0.1717, 0.1717, 0.3231)  4 Pr 3.24-3.61
I (0.5000, 0.5000, 0.0000)  4 Pr 3.42
I (0.8283, 0.8283, 0.6769)  4 Pr 3.24-3.61
I (0.8348, 0.8348, 0.1567)  3 Pr 3.20-3.23

Entry 8:
Compound: SrZnSeO
Source: OQMD via LeMat-Bulk
Functional: GGA-PBE
Structure: relaxed

Cell: 6.0883 6.9545 7.7487 Å, 90.00 90.00 90.00°
Closest atoms and distances in Å follow each position.
Positions (direct):
Sr (0.0966, 0.0097, 0.1586)  2 O 2.44-2.55
Sr (0.4034, 0.9903, 0.6586)  2 O 2.44-2.55
Sr (0.5966, 0.4903, 0.8414)  2 O 2.44-2.55
Sr (0.9034, 0.5097, 0.3414)  2 O 2.44-2.55
Zn (0.0803, 0.6676, 0.8901)  2 O 1.97-2.00
Zn (0.4197, 0.3324, 0.3901)  2 O 1.97-2.00
Zn (0.5803, 0.8324, 0.1099)  2 O 1.97-2.00
Zn (0.9197, 0.1676, 0.6099)  2 O 1.97-2.00
Se (0.1120, 0.3149, 0.8609)  2 Zn 2.47-2.49
Se (0.3880, 0.6851, 0.3609)  2 Zn 2.47-2.49
Se (0.6120, 0.1851, 0.1391)  2 Zn 2.47-2.49
Se (0.8880, 0.8149, 0.6391)  2 Zn 2.47-2.49
O (0.1294, 0.2117, 0.4144)  2 Zn 1.97-2.00
O (0.3706, 0.7883, 0.9144)  2 Zn 1.97-2.00
O (0.6294, 0.2883, 0.5856)  2 Zn 1.97-2.00
O (0.8706, 0.7117, 0.0856)  2 Zn 1.97-2.00

Entry 9:
Compound: HoTe3PbAu
Source: OQMD via LeMat-Bulk
Functional: GGA-PBE
Structure: relaxed

Cell: 10.7751 4.4237 16.5091 Å, 90.00 90.00 90.00°
Closest atoms and distances in Å follow each position.
Positions (direct):
Ho (0.1723, 0.2500, 0.0202)  6 Te 3.02-3.21
Ho (0.3277, 0.7500, 0.5202)  6 Te 3.02-3.21
Ho (0.6723, 0.2500, 0.4798)  6 Te 3.02-3.21
Ho (0.8277, 0.7500, 0.9798)  6 Te 3.02-3.21
Te (0.0250, 0.7500, 0.1094)  3 Ho 3.02-3.10, 1 Pb 3.15
Te (0.1489, 0.2500, 0.4690)  1 Au 2.65
Te (0.1535, 0.7500, 0.6779)  1 Au 2.62
Te (0.3465, 0.2500, 0.1779)  1 Au 2.62
Te (0.3511, 0.7500, 0.9690)  1 Au 2.65
Te (0.4750, 0.2500, 0.6094)  3 Ho 3.02-3.10, 1 Pb 3.15
Te (0.5250, 0.7500, 0.3906)  3 Ho 3.02-3.10, 1 Pb 3.15
Te (0.6489, 0.2500, 0.0310)  1 Au 2.65
Te (0.6535, 0.7500, 0.8221)  1 Au 2.62
Te (0.8465, 0.2500, 0.3221)  1 Au 2.62
Te (0.8511, 0.7500, 0.5310)  1 Au 2.65
Te (0.9750, 0.2500, 0.8906)  3 Ho 3.02-3.10, 1 Pb 3.15
Pb (0.0490, 0.7500, 0.2996)  3 Te 3.13-3.15, 2 Au 3.19
Pb (0.4510, 0.2500, 0.7996)  3 Te 3.13-3.15, 2 Au 3.19
Pb (0.5490, 0.7500, 0.2004)  3 Te 3.13-3.15, 2 Au 3.19
Pb (0.9510, 0.2500, 0.7004)  3 Te 3.13-3.15, 2 Au 3.19
Au (0.2417, 0.7500, 0.8255)  2 Te 2.62-2.65
Au (0.2583, 0.2500, 0.3255)  2 Te 2.62-2.65
Au (0.7417, 0.7500, 0.6745)  2 Te 2.62-2.65
Au (0.7583, 0.2500, 0.1745)  2 Te 2.62-2.65

Properties
- Energy above the lowest structure with this stoichiometry: 4 meV per atom

Entry 10:
Compound: YMgAuSeS2
Source: OQMD via LeMat-Bulk
Functional: GGA-PBE
Structure: relaxed

Cell: 7.0475 7.0475 10.6155 Å, 90.00 90.00 146.99°
Closest atoms and distances in Å follow each position.
Positions (direct):
Y (0.0000, 0.0000, 0.0000)  4 S 2.75, 2 Se 2.88
Y (0.0000, 0.0000, 0.5000)  4 S 2.75, 2 Se 2.88
Mg (0.2967, 0.7033, 0.7500)  2 Se 2.59, 2 Au 2.88
Mg (0.7033, 0.2967, 0.2500)  2 Se 2.59, 2 Au 2.88
Au (0.3565, 0.6435, 0.2500)  2 S 2.33
Au (0.6435, 0.3565, 0.7500)  2 S 2.33
Se (0.0823, 0.9177, 0.2500)  2 Mg 2.59, 2 Y 2.88
Se (0.9177, 0.0823, 0.7500)  2 Mg 2.59, 2 Y 2.88
S (0.3626, 0.6374, 0.0310)  1 Au 2.33
S (0.3626, 0.6374, 0.4690)  1 Au 2.33
S (0.6374, 0.3626, 0.5310)  1 Au 2.33
S (0.6374, 0.3626, 0.9690)  1 Au 2.33

Number 1: DFT total energy -5.2726 eV per atom. Number 2: DFT total energy -6.1209 eV per atom. Number 3: DFT total energy -4.3992 eV per atom. Number 4: DFT total energy -5.8041 eV per atom. Number 5: DFT total energy -4.5882 eV per atom. Number 6: DFT total energy -6.4674 eV per atom. Number 7: DFT total energy -4.4561 eV per atom. Number 8: DFT total energy -4.5768 eV per atom. Number 9: DFT total energy -4.1965 eV per atom. Number 10: DFT total energy -4.9864 eV per atom.